1.
## Mg2CrTeCl (GGA-PBE)

Data for crystalline Mg2CrTeCl at its relaxed geometry.

**Space group**: P4/mmm
**DOS(E_F)**: 1.1 states/eV per cell
**Spin magnetization**: 2.9 μB/f.u.

Lattice parameters (Å, degrees): 5.4515 4.7890 5.4515 90.00 90.00 90.00
Sites, in units of the cell vectors:
Cr 0.0000 0.0000 0.0000
Mg 0.0000 0.0000 0.5000
Mg 0.5000 0.0000 0.0000
Te 0.0000 0.5000 0.0000
Cl 0.5000 0.5000 0.5000

---

2.
## Mg2CrTeCl (GGA-PBE)

Data for crystalline Mg2CrTeCl at its relaxed geometry.

**Space group**: P4/mmm
**DOS(E_F)**: 2.1 states/eV per cell
**Spin magnetization**: 4.7 μB/f.u.

Lattice parameters (Å, degrees): 5.8265 5.2140 5.8265 90.00 90.00 90.00
Sites, in units of the cell vectors:
Cr 0.0000 0.5000 0.0000
Mg 0.0000 0.0000 0.5000
Mg 0.5000 0.0000 0.0000
Te 0.0000 0.0000 0.0000
Cl 0.5000 0.5000 0.5000

---

Relative energies, in meV per atom, with the most stable structure set to zero: 1 0; 2 220.

---

1.
## MnCrCl (GGA-PBE)

Data for crystalline MnCrCl at its relaxed geometry.

**Space group**: Fmm2
**DOS(E_F)**: 0.7 states/eV per cell
**Spin magnetization**: 0.1 μB/f.u.

Lattice parameters (Å, degrees): 6.1950 5.9118 3.1096 80.23 70.13 29.65
Sites, in units of the cell vectors:
Cr 0.3207 0.3207 0.6793
Mn 0.6799 0.6799 0.3201
Cl 0.9994 0.9994 0.0006

---

2.
## MnCrCl (GGA-PBE)

Data for crystalline MnCrCl at its relaxed geometry.

**Space group**: P3m1
**DOS(E_F)**: 0.8 states/eV per cell
**Spin magnetization**: 0.0 μB/f.u.

Lattice parameters (Å, degrees): 3.2400 3.2400 5.5401 90.00 90.00 120.00
Sites, in units of the cell vectors:
Cr 0.6667 0.3333 0.3603
Mn 0.3333 0.6667 0.6370
Cl 0.0000 0.0000 0.0028

---

3.
## MnCrCl (GGA-PBE)

Data for crystalline MnCrCl at its relaxed geometry.

**Space group**: F-43m
**DOS(E_F)**: 1.3 states/eV per cell
**Spin magnetization**: 0.0 μB/f.u.

Lattice parameters (Å, degrees): 4.3859 4.3859 4.3859 60.00 60.00 60.00
Sites, in units of the cell vectors:
Cr 0.7500 0.7500 0.7500
Mn 0.0000 0.0000 0.0000
Cl 0.5000 0.5000 0.5000

---

Relative energies, in meV per atom, with the most stable structure set to zero: 1 87; 2 0; 3 526.

---

1.
## MnCrCl4 (GGA-PBE)

Data for crystalline MnCrCl4 at its relaxed geometry.

**Space group**: F-43m
**DOS(E_F)**: 3.9 states/eV per cell
**Spin magnetization**: 1.9 μB/f.u.

Lattice parameters (Å, degrees): 5.8525 5.8525 5.8525 60.00 60.00 60.00
Sites, in units of the cell vectors:
Mn 0.0000 0.0000 0.0000
Cr 0.7500 0.7500 0.7500
Cl 0.8760 0.3747 0.3747
Cl 0.3747 0.3747 0.8760
Cl 0.3747 0.8760 0.3747
Cl 0.3747 0.3747 0.3747

---

2.
## MnCrCl4 (GGA-PBE)

Data for crystalline MnCrCl4 at its relaxed geometry.

**Space group**: Imma
**DOS(E_F)**: 9.6 states/eV per cell
**Spin magnetization**: 9.0 μB/f.u.

Lattice parameters (Å, degrees): 7.4885 7.5087 7.3643 59.35 59.44 90.00
Sites, in units of the cell vectors:
Mn 0.5000 0.5000 0.0000
Mn 0.0000 0.5000 0.0000
Cr 0.0000 0.0000 0.5000
Cr 0.0000 0.5000 0.5000
Cl 0.2378 0.2552 0.4895
Cl 0.2397 0.2547 0.0206
Cl 0.2397 0.7247 0.0206
Cl 0.7727 0.2552 0.4895
Cl 0.2273 0.7448 0.5105
Cl 0.7603 0.7453 0.9794
Cl 0.7603 0.2753 0.9794
Cl 0.7622 0.7448 0.5105

---

Relative energies, in meV per atom, with the most stable structure set to zero: 1 1703; 2 0.

---

1.
## CrMoCl (GGA-PBE)

Data for crystalline CrMoCl at its relaxed geometry.

**Space group**: I4mm
**DOS(E_F)**: 2.5 states/eV per cell
**Spin magnetization**: 2.2 μB/f.u.

Lattice parameters (Å, degrees): 5.9485 5.9485 5.9485 151.49 151.49 40.76
Sites, in units of the cell vectors:
Cr 0.3179 0.3179 0.0000
Mo 0.6731 0.6731 0.0000
Cl 0.0090 0.0090 0.0000

---

2.
## CrMoCl (GGA-PBE)

Data for crystalline CrMoCl at its relaxed geometry.

**Space group**: Imm2
**DOS(E_F)**: 2.9 states/eV per cell
**Spin magnetization**: 0.9 μB/f.u.

Lattice parameters (Å, degrees): 4.4906 4.4906 4.4906 142.02 126.54 67.44
Sites, in units of the cell vectors:
Cr 0.3233 0.3233 0.0000
Mo 0.6702 0.6702 0.0000
Cl 0.0066 0.0066 0.0000

---

Relative energies, in meV per atom, with the most stable structure set to zero: 1 0; 2 371.

---

1.
## CrMoCl (GGA-PBE)

Data for crystalline CrMoCl at its relaxed geometry.

**Space group**: Fmm2
**DOS(E_F)**: 2.6 states/eV per cell
**Spin magnetization**: 0.6 μB/f.u.

Lattice parameters (Å, degrees): 6.6007 6.2821 3.0118 82.46 70.65 26.89
Sites, in units of the cell vectors:
Cr 0.6770 0.6770 0.3230
Mo 0.3154 0.3154 0.6846
Cl 0.0076 0.0076 0.9924

---

2.
## CrMoCl (GGA-PBE)

Data for crystalline CrMoCl at its relaxed geometry.

**Space group**: P3m1
**DOS(E_F)**: 1.6 states/eV per cell
**Spin magnetization**: 0.0 μB/f.u.

Lattice parameters (Å, degrees): 3.1104 3.1104 5.8235 90.00 90.00 120.00
Sites, in units of the cell vectors:
Cr 0.6667 0.3333 0.3578
Mo 0.3333 0.6667 0.6190
Cl 0.0000 0.0000 0.0233

---

3.
## CrMoCl (GGA-PBE)

Data for crystalline CrMoCl at its relaxed geometry.

**Space group**: P3m1
**DOS(E_F)**: 3.0 states/eV per cell
**Spin magnetization**: 0.1 μB/f.u.

Lattice parameters (Å, degrees): 4.1367 4.1367 2.8636 90.00 90.00 120.00
Sites, in units of the cell vectors:
Cr 0.6667 0.3333 0.1623
Mo 0.3333 0.6667 0.7768
Cl 0.0000 0.0000 0.0609

---

Relative energies, in meV per atom, with the most stable structure set to zero: 1 178; 2 0; 3 434.

---

1.
## Cr2MoCl (GGA-PBE)

Data for crystalline Cr2MoCl at its relaxed geometry.

**Space group**: Cm
**DOS(E_F)**: 4.1 states/eV per cell
**Spin magnetization**: 1.2 μB/f.u.

Lattice parameters (Å, degrees): 5.0404 5.0404 4.2080 90.10 90.10 34.08
Sites, in units of the cell vectors:
Cr 0.0325 0.0325 0.9534
Cr 0.7546 0.7546 0.7668
Mo 0.4741 0.4741 0.5350
Cl 0.2388 0.2388 0.2447

---

2.
## Cr2MoCl (GGA-PBE)

Data for crystalline Cr2MoCl at its relaxed geometry.

**Space group**: Fm-3m
**DOS(E_F)**: 7.5 states/eV per cell
**Spin magnetization**: 0.0 μB/f.u.

Lattice parameters (Å, degrees): 4.2631 4.2631 4.2631 60.00 60.00 60.00
Sites, in units of the cell vectors:
Cr 0.2500 0.2500 0.2500
Cr 0.7500 0.7500 0.7500
Mo 0.5000 0.5000 0.5000
Cl 0.0000 0.0000 0.0000

---

Relative energies, in meV per atom, with the most stable structure set to zero: 1 0; 2 462.